Record 1
# HAu

A geometry-optimized HAu structure (PBE-GGA, OQMD via LeMat-Bulk).

Structure (CIF):
```
data_HAu
_space_group_name_H-M_alt 'F -4 3 m'
_space_group_IT_number 216
_space_group_name_Hall 'F -4 2 3'
_cell_length_a 4.5330
_cell_length_b 4.5330
_cell_length_c 4.5330
_cell_angle_alpha 90.00
_cell_angle_beta 90.00
_cell_angle_gamma 90.00
loop_
_atom_site_label
_atom_site_fract_x
_atom_site_fract_y
_atom_site_fract_z
H1 0.0000 0.0000 0.0000
Au1 0.2500 0.2500 0.2500
```

DFT total energy ... -2.9594 eV per atom



Record 2
# RbDyCoTe3

A geometry-optimized RbDyCoTe3 structure (PBE-GGA, OQMD via LeMat-Bulk).

Structure (CIF):
```
data_RbDyCoTe3
_space_group_name_H-M_alt 'P n m a'
_space_group_IT_number 62
_space_group_name_Hall '-P 2ac 2n'
_cell_length_a 12.2181
_cell_length_b 4.5151
_cell_length_c 13.6023
_cell_angle_alpha 90.00
_cell_angle_beta 90.00
_cell_angle_gamma 90.00
loop_
_atom_site_label
_atom_site_fract_x
_atom_site_fract_y
_atom_site_fract_z
Rb1 0.1837 0.2500 0.0026
Dy1 0.0148 0.2500 0.6837
Co1 0.2504 0.2500 0.2953
Te1 0.0465 0.7500 0.8355
Te2 0.1011 0.2500 0.4335
Te3 0.2248 0.7500 0.2123
```

DFT total energy ... -4.4394 eV per atom
E above lowest polymorph ... 0.49 eV/f.u.
Total magnetic moment ... 8.3 μB per cell